# 1
## Cs2BBr (PBE)

Data for a geometry-optimized Cs2BBr structure.

a b c (Å): 6.134 6.134 6.134
angles (deg): 60.00 60.00 60.00
Sites, in units of the cell vectors:
1 Cs 0.250 0.250 0.250
2 Cs 0.750 0.750 0.750
3 B 0.000 0.000 0.000
4 Br 0.500 0.500 0.500

Summary:
Total magnetic moment (μB/f.u.): 2.00
Space-group type: No. 225
DFT total energy (eV/atom): -2.2798


# 2
## Cs2BBr (PBE)

Data for a geometry-optimized Cs2BBr structure.

a b c (Å): 7.738 7.738 10.109
angles (deg): 67.50 67.50 90.00
Sites, in units of the cell vectors:
1 Cs 0.606 0.125 0.250
2 Cs 0.144 0.625 0.250
3 Cs 0.375 0.394 0.750
4 Cs 0.875 0.856 0.750
5 B 0.500 0.500 0.000
6 B 0.250 0.750 0.500
7 Br 0.000 0.000 0.000
8 Br 0.750 0.250 0.500

Summary:
Total magnetic moment (μB/f.u.): 2.00
Space-group type: No. 122
DFT total energy (eV/atom): -2.2378


# 3
## Cs3B2Br8 (PBE)

Data for a geometry-optimized Cs3B2Br8 structure.

a b c (Å): 7.433 7.433 11.029
angles (deg): 70.31 70.31 60.00
Sites, in units of the cell vectors:
1 Cs 0.000 0.000 0.000
2 Cs 0.212 0.212 0.365
3 Cs 0.788 0.788 0.635
4 B 0.410 0.410 0.770
5 B 0.590 0.590 0.230
6 Br 0.343 0.343 0.972
7 Br 0.657 0.657 0.028
8 Br 0.277 0.744 0.702
9 Br 0.744 0.277 0.702
10 Br 0.277 0.277 0.702
11 Br 0.256 0.723 0.298
12 Br 0.723 0.256 0.298
13 Br 0.723 0.723 0.298

Summary:
Total magnetic moment (μB/f.u.): 0.00
Space-group type: No. 166
DFT total energy (eV/atom): -3.1607


# 4
## CsB3Br (PBE)

Data for a geometry-optimized CsB3Br structure.

a b c (Å): 5.501 5.501 5.501
angles (deg): 90.00 90.00 90.00
Sites, in units of the cell vectors:
1 Cs 0.000 0.000 0.000
2 B 0.000 0.500 0.000
3 B 0.000 0.000 0.500
4 B 0.500 0.000 0.000
5 Br 0.500 0.500 0.500

Summary:
Total magnetic moment (μB/f.u.): 0.00
Space-group type: No. 221
DFT total energy (eV/atom): -1.3845


# 5
## CsB2Br (PBE)

Data for a geometry-optimized CsB2Br structure.

a b c (Å): 5.212 5.212 5.212
angles (deg): 60.00 60.00 60.00
Sites, in units of the cell vectors:
1 Cs 0.500 0.500 0.500
2 B 0.250 0.250 0.250
3 B 0.750 0.750 0.750
4 Br 0.000 0.000 0.000

Summary:
Total magnetic moment (μB/f.u.): 0.83
Space-group type: No. 225
DFT total energy (eV/atom): -2.0555


# 6
## CsBBr3 (PBE)

Data for a geometry-optimized CsBBr3 structure.

a b c (Å): 5.110 5.110 5.110
angles (deg): 90.00 90.00 90.00
Sites, in units of the cell vectors:
1 Cs 0.500 0.500 0.500
2 B 0.000 0.000 0.000
3 Br 0.000 0.500 0.000
4 Br 0.000 0.000 0.500
5 Br 0.500 0.000 0.000

Summary:
Total magnetic moment (μB/f.u.): 0.00
Space-group type: No. 221
DFT total energy (eV/atom): -2.7829


# 7
## CsBBr3 (PBE)

Data for a geometry-optimized CsBBr3 structure.

a b c (Å): 8.012 8.012 7.575
angles (deg): 58.07 58.07 90.00
Sites, in units of the cell vectors:
1 Cs 0.750 0.250 0.500
2 Cs 0.250 0.750 0.500
3 B 0.500 0.500 0.000
4 B 0.000 0.000 0.000
5 Br 0.186 0.186 0.629
6 Br 0.814 0.814 0.371
7 Br 0.271 0.271 0.000
8 Br 0.729 0.729 0.000
9 Br 0.729 0.271 0.000
10 Br 0.271 0.729 0.000

Summary:
Total magnetic moment (μB/f.u.): 0.00
Space-group type: No. 139
DFT total energy (eV/atom): -2.8587


# 8
## CsBBr3 (PBE)

Data for a geometry-optimized CsBBr3 structure.

a b c (Å): 7.652 8.127 11.082
angles (deg): 90.00 89.98 90.00
Sites, in units of the cell vectors:
1 Cs 0.000 0.519 0.248
2 Cs 0.500 0.019 0.252
3 Cs 0.000 0.481 0.752
4 Cs 0.500 0.981 0.748
5 B 0.500 0.588 0.043
6 B 0.000 0.088 0.457
7 B 0.500 0.412 0.957
8 B 0.000 0.912 0.543
9 Br 0.219 0.767 0.508
10 Br 0.281 0.267 0.992
11 Br 0.781 0.233 0.492
12 Br 0.719 0.733 0.008
13 Br 0.000 0.962 0.726
14 Br 0.500 0.462 0.774
15 Br 0.000 0.038 0.274
16 Br 0.500 0.538 0.226
17 Br 0.783 0.766 0.509
18 Br 0.717 0.266 0.991
19 Br 0.217 0.234 0.491
20 Br 0.283 0.734 0.009

Summary:
Total magnetic moment (μB/f.u.): 0.00
Space-group type: No. 14
DFT total energy (eV/atom): -3.5260


# 9
## Cs3BBr (PBE)

Data for a geometry-optimized Cs3BBr structure.

a b c (Å): 6.353 6.353 6.353
angles (deg): 90.00 90.00 90.00
Sites, in units of the cell vectors:
1 Cs 0.000 0.500 0.000
2 Cs 0.000 0.000 0.500
3 Cs 0.500 0.000 0.000
4 B 0.000 0.000 0.000
5 Br 0.500 0.500 0.500

Summary:
Total magnetic moment (μB/f.u.): 0.00
Space-group type: No. 221
DFT total energy (eV/atom): -2.0475


# 10
## Cs2BBr6F (PBE)

Data for a geometry-optimized Cs2BBr6F structure.

a b c (Å): 7.841 7.841 7.779
angles (deg): 59.74 59.74 90.00
Sites, in units of the cell vectors:
1 Cs 0.750 0.250 0.500
2 Cs 0.250 0.750 0.500
3 B 0.500 0.500 0.000
4 Br 0.199 0.199 0.603
5 Br 0.801 0.801 0.397
6 Br 0.304 0.304 0.000
7 Br 0.696 0.696 0.000
8 Br 0.696 0.304 0.000
9 Br 0.304 0.696 0.000
10 F 0.000 0.000 0.000

Summary:
Total magnetic moment (μB/f.u.): 0.00
Space-group type: No. 139
DFT total energy (eV/atom): -2.7477


# 11
## Cs2BBrF6 (PBE)

Data for a geometry-optimized Cs2BBrF6 structure.

a b c (Å): 6.677 6.677 6.496
angles (deg): 59.08 59.08 90.00
Sites, in units of the cell vectors:
1 Cs 0.750 0.250 0.500
2 Cs 0.250 0.750 0.500
3 B 0.500 0.500 0.000
4 Br 0.000 0.000 0.000
5 F 0.224 0.224 0.553
6 F 0.776 0.776 0.447
7 F 0.341 0.341 0.000
8 F 0.659 0.659 0.000
9 F 0.659 0.341 0.000
10 F 0.341 0.659 0.000

Summary:
Total magnetic moment (μB/f.u.): 0.00
Space-group type: No. 139
DFT total energy (eV/atom): -4.3205


# 12
## Cs2GeBBr6 (PBE)

Data for a geometry-optimized Cs2GeBBr6 structure.

a b c (Å): 7.515 7.515 7.562
angles (deg): 60.21 60.21 90.00
Sites, in units of the cell vectors:
1 Cs 0.750 0.250 0.500
2 Cs 0.250 0.750 0.500
3 Ge 0.000 0.000 0.000
4 B 0.500 0.500 0.000
5 Br 0.261 0.261 0.479
6 Br 0.739 0.739 0.521
7 Br 0.266 0.266 0.000
8 Br 0.734 0.734 0.000
9 Br 0.734 0.266 0.000
10 Br 0.266 0.734 0.000

Summary:
Total magnetic moment (μB/f.u.): 0.00
Space-group type: No. 139
DFT total energy (eV/atom): -2.9842


# 13
## Cs2BIrBr6 (PBE)

Data for a geometry-optimized Cs2BIrBr6 structure.

a b c (Å): 7.231 7.231 7.827
angles (deg): 62.49 62.49 90.00
Sites, in units of the cell vectors:
1 Cs 0.750 0.250 0.500
2 Cs 0.250 0.750 0.500
3 B 0.500 0.500 0.000
4 Ir 0.000 0.000 0.000
5 Br 0.213 0.213 0.573
6 Br 0.787 0.787 0.427
7 Br 0.251 0.251 0.000
8 Br 0.749 0.749 0.000
9 Br 0.749 0.251 0.000
10 Br 0.251 0.749 0.000

Summary:
Total magnetic moment (μB/f.u.): 0.00
Space-group type: No. 139
DFT total energy (eV/atom): -3.2143


# 14
## Cs2KBBr6 (PBE)

Data for a geometry-optimized Cs2KBBr6 structure.

a b c (Å): 7.771 7.771 7.959
angles (deg): 60.78 60.78 90.00
Sites, in units of the cell vectors:
1 Cs 0.750 0.250 0.500
2 Cs 0.250 0.750 0.500
3 K 0.000 0.000 0.000
4 B 0.500 0.500 0.000
5 Br 0.276 0.276 0.447
6 Br 0.724 0.724 0.553
7 Br 0.293 0.293 0.000
8 Br 0.707 0.707 0.000
9 Br 0.707 0.293 0.000
10 Br 0.293 0.707 0.000

Summary:
Total magnetic moment (μB/f.u.): 0.00
Space-group type: No. 139
DFT total energy (eV/atom): -2.9029


# 15
## Cs2LaBBr6 (PBE)

Data for a geometry-optimized Cs2LaBBr6 structure.

a b c (Å): 8.081 8.081 8.082
angles (deg): 60.00 60.00 90.00
Sites, in units of the cell vectors:
1 Cs 0.750 0.250 0.500
2 Cs 0.250 0.750 0.500
3 B 0.500 0.500 0.000
4 Br 0.257 0.257 0.486
5 Br 0.743 0.743 0.514
6 Br 0.257 0.257 0.000
7 Br 0.743 0.743 0.000
8 Br 0.743 0.257 0.000
9 Br 0.257 0.743 0.000
10 La 0.000 0.000 0.000

Summary:
Total magnetic moment (μB/f.u.): 0.00
Space-group type: No. 225
DFT total energy (eV/atom): -3.5408


# 16
## Cs2LiBBr6 (PBE)

Data for a geometry-optimized Cs2LiBBr6 structure.

a b c (Å): 8.189 8.189 7.658
angles (deg): 57.68 57.68 90.00
Sites, in units of the cell vectors:
1 Cs 0.750 0.250 0.500
2 Cs 0.250 0.750 0.500
3 B 0.000 0.000 0.000
4 Br 0.182 0.182 0.635
5 Br 0.818 0.818 0.365
6 Br 0.270 0.270 0.000
7 Br 0.730 0.730 0.000
8 Br 0.730 0.270 0.000
9 Br 0.270 0.730 0.000
10 Li 0.500 0.500 0.000

Summary:
Total magnetic moment (μB/f.u.): 0.00
Space-group type: No. 139
DFT total energy (eV/atom): -2.9836


# 17
## Cs2MgBBr6 (PBE)

Data for a geometry-optimized Cs2MgBBr6 structure.

a b c (Å): 7.406 7.406 7.870
angles (deg): 61.93 61.93 90.00
Sites, in units of the cell vectors:
1 Cs 0.750 0.250 0.500
2 Cs 0.250 0.750 0.500
3 Mg 0.000 0.000 0.000
4 B 0.500 0.500 0.000
5 Br 0.218 0.218 0.564
6 Br 0.782 0.782 0.436
7 Br 0.275 0.275 0.000
8 Br 0.725 0.725 0.000
9 Br 0.725 0.275 0.000
10 Br 0.275 0.725 0.000

Summary:
Total magnetic moment (μB/f.u.): 0.00
Space-group type: No. 139
DFT total energy (eV/atom): -2.8910


# 18
## Cs2BMoBr6 (PBE)

Data for a geometry-optimized Cs2BMoBr6 structure.

a b c (Å): 7.654 7.654 7.666
angles (deg): 60.05 60.05 90.00
Sites, in units of the cell vectors:
1 Cs 0.750 0.250 0.500
2 Cs 0.250 0.750 0.500
3 Mo 0.000 0.000 0.000
4 B 0.500 0.500 0.000
5 Br 0.243 0.243 0.514
6 Br 0.757 0.757 0.486
7 Br 0.244 0.244 0.000
8 Br 0.756 0.756 0.000
9 Br 0.756 0.244 0.000
10 Br 0.244 0.756 0.000

Summary:
Total magnetic moment (μB/f.u.): 3.00
Space-group type: No. 139
DFT total energy (eV/atom): -3.5344


# 19
## Cs2BBr6N (PBE)

Data for a geometry-optimized Cs2BBr6N structure.

a b c (Å): 7.808 7.808 7.803
angles (deg): 59.98 59.98 90.00
Sites, in units of the cell vectors:
1 Cs 0.750 0.250 0.500
2 Cs 0.250 0.750 0.500
3 B 0.500 0.500 0.000
4 Br 0.202 0.202 0.597
5 Br 0.798 0.798 0.403
6 Br 0.303 0.303 0.000
7 Br 0.697 0.697 0.000
8 Br 0.697 0.303 0.000
9 Br 0.303 0.697 0.000
10 N 0.000 0.000 0.000

Summary:
Total magnetic moment (μB/f.u.): 2.00
Space-group type: No. 139
DFT total energy (eV/atom): -2.9076


# 20
## CsNaB2Br8 (PBE)

Data for a geometry-optimized CsNaB2Br8 structure.

a b c (Å): 6.635 6.635 10.397
angles (deg): 90.00 90.00 120.00
Sites, in units of the cell vectors:
1 Cs 0.000 0.000 0.000
2 Na 0.000 0.000 0.500
3 B 0.667 0.333 0.254
4 B 0.333 0.667 0.746
5 Br 0.333 0.667 0.942
6 Br 0.382 0.347 0.316
7 Br 0.653 0.035 0.316
8 Br 0.667 0.333 0.058
9 Br 0.347 0.965 0.684
10 Br 0.618 0.653 0.684
11 Br 0.035 0.382 0.684
12 Br 0.965 0.618 0.316

Summary:
Total magnetic moment (μB/f.u.): 0.00
Space-group type: No. 147
DFT total energy (eV/atom): -3.3059